Record 1
This record from Alexandria describes an optimized crystal structure of BaTaSnO6. The functional is GGA-PBE.

a = 5.5507 Å, b = 5.5507 Å, c = 11.2230 Å
α = 90.00°, β = 90.00°, γ = 120.00°
Atoms (fractional coordinates):
1 Ba 0.0000 0.0000 0.0000
2 Ba 0.0000 0.0000 0.5000
3 Ta 0.3333 0.6667 0.2500
4 Ta 0.6667 0.3333 0.7500
5 Sn 0.3333 0.6667 0.7500
6 Sn 0.6667 0.3333 0.2500
7 O 0.0106 0.3989 0.1496
8 O 0.0106 0.6117 0.3504
9 O 0.3883 0.3989 0.3504
10 O 0.3883 0.9894 0.1496
11 O 0.3989 0.0106 0.6496
12 O 0.3989 0.3883 0.8504
13 O 0.6011 0.6117 0.1496
14 O 0.6011 0.9894 0.3504
15 O 0.6117 0.0106 0.8504
16 O 0.6117 0.6011 0.6496
17 O 0.9894 0.3883 0.6496
18 O 0.9894 0.6011 0.8504

## Properties
Its space group is No. 163. As for the total energy: -0.5526 Ry/atom. The calculation puts the density of states at the Fermi level at 13.83 states/eV/cell.



Record 2
This record from Alexandria describes an optimized crystal structure of Ba3TbSn2O9. The functional is GGA-PBE.

a = 6.0530 Å, b = 6.0530 Å, c = 7.4367 Å
α = 90.00°, β = 90.00°, γ = 120.00°
Atoms (fractional coordinates):
1 Ba 0.0000 0.0000 0.0000
2 Ba 0.3333 0.6667 0.6696
3 Ba 0.6667 0.3333 0.3304
4 Tb 0.0000 0.0000 0.5000
5 Sn 0.3333 0.6667 0.1635
6 Sn 0.6667 0.3333 0.8365
7 O 0.0000 0.5000 0.0000
8 O 0.1724 0.3447 0.3220
9 O 0.1724 0.8276 0.3220
10 O 0.3447 0.1724 0.6780
11 O 0.5000 0.0000 0.0000
12 O 0.5000 0.5000 0.0000
13 O 0.6553 0.8276 0.3220
14 O 0.8276 0.1724 0.6780
15 O 0.8276 0.6553 0.6780

## Properties
Its space group is No. 164. As for the total energy: -0.4841 Ry/atom. The calculation puts the density of states at the Fermi level at 11.37 states/eV/cell.



Record 3
This record from Alexandria describes an optimized crystal structure of BaTcSnO6. The functional is GGA-PBE.

a = 5.4540 Å, b = 5.4540 Å, c = 5.6806 Å
α = 90.00°, β = 90.00°, γ = 120.00°
Atoms (fractional coordinates):
1 Ba 0.0000 0.0000 0.0000
2 Tc 0.6667 0.3333 0.5000
3 Sn 0.3333 0.6667 0.5000
4 O 0.4100 0.0200 0.6996
5 O 0.4100 0.3900 0.3004
6 O 0.6100 0.0200 0.3004
7 O 0.6100 0.5900 0.6996
8 O 0.9800 0.3900 0.6996
9 O 0.9800 0.5900 0.3004

## Properties
Its space group is No. 149. As for the total energy: -0.5084 Ry/atom. The calculation puts the density of states at the Fermi level at 1.52 states/eV/cell.



Record 4
This record from Alexandria describes an optimized crystal structure of BaTc2SnO8. The functional is GGA-PBE.

a = 6.9526 Å, b = 6.9526 Å, c = 5.5612 Å
α = 95.85°, β = 95.85°, γ = 58.02°
Atoms (fractional coordinates):
1 Ba 0.0000 0.0000 0.0000
2 Tc 0.3211 0.3211 0.8761
3 Tc 0.6789 0.6789 0.1239
4 Sn 0.5000 0.5000 0.5000
5 O 0.1819 0.1819 0.7592
6 O 0.2172 0.5930 0.7260
7 O 0.3573 0.3573 0.1932
8 O 0.4070 0.7828 0.2740
9 O 0.5930 0.2172 0.7260
10 O 0.6427 0.6427 0.8068
11 O 0.7828 0.4070 0.2740
12 O 0.8181 0.8181 0.2408

## Properties
Its space group is No. 12. As for the total energy: -0.5255 Ry/atom. The calculation puts the density of states at the Fermi level at 2.15 states/eV/cell.



Record 5
This record from Alexandria describes an optimized crystal structure of Ba2TcSnO6. The functional is GGA-PBE.

a = 5.8608 Å, b = 5.8608 Å, c = 5.8608 Å
α = 60.00°, β = 60.00°, γ = 60.00°
Atoms (fractional coordinates):
1 Ba 0.2500 0.2500 0.2500
2 Ba 0.7500 0.7500 0.7500
3 Tc 0.0000 0.0000 0.0000
4 Sn 0.5000 0.5000 0.5000
5 O 0.2477 0.2477 0.7523
6 O 0.2477 0.7523 0.2477
7 O 0.2477 0.7523 0.7523
8 O 0.7523 0.2477 0.2477
9 O 0.7523 0.2477 0.7523
10 O 0.7523 0.7523 0.2477

## Properties
Its space group is No. 225. As for the total energy: -0.5036 Ry/atom. The calculation puts the density of states at the Fermi level at 1.44 states/eV/cell.



Record 6
This record from Alexandria describes an optimized crystal structure of Ba2SnTeO6. The functional is GGA-PBE.

a = 6.0408 Å, b = 6.0408 Å, c = 6.0408 Å
α = 60.00°, β = 60.00°, γ = 60.00°
Atoms (fractional coordinates):
1 Ba 0.2500 0.2500 0.2500
2 Ba 0.7500 0.7500 0.7500
3 Sn 0.0000 0.0000 0.0000
4 Te 0.5000 0.5000 0.5000
5 O 0.2469 0.2469 0.7531
6 O 0.2469 0.7531 0.2469
7 O 0.2469 0.7531 0.7531
8 O 0.7531 0.2469 0.2469
9 O 0.7531 0.2469 0.7531
10 O 0.7531 0.7531 0.2469

## Properties
Its space group is No. 225. As for the total energy: -0.4430 Ry/atom.



Record 7
This record from Alexandria describes an optimized crystal structure of BaSnTeO2. The functional is GGA-PBE.

a = 7.7768 Å, b = 7.7768 Å, c = 5.5366 Å
α = 90.00°, β = 90.00°, γ = 132.67°
Atoms (fractional coordinates):
1 Ba 0.1085 0.8915 0.7500
2 Ba 0.8915 0.1085 0.2500
3 Sn 0.4421 0.5579 0.7500
4 Sn 0.5579 0.4421 0.2500
5 Te 0.2724 0.7276 0.2500
6 Te 0.7276 0.2724 0.7500
7 O 0.2834 0.2834 0.0000
8 O 0.2834 0.2834 0.5000
9 O 0.7166 0.7166 0.0000
10 O 0.7166 0.7166 0.5000

## Properties
Its space group is No. 63. As for the total energy: -0.3884 Ry/atom. The calculation puts the density of states at the Fermi level at 6.67 states/eV/cell.



Record 8
This record from Alexandria describes an optimized crystal structure of BaSnTeO. The functional is GGA-PBE.

a = 6.9628 Å, b = 6.9628 Å, c = 5.3448 Å
α = 106.41°, β = 106.41°, γ = 34.99°
Atoms (fractional coordinates):
1 Ba 0.0000 0.0000 0.0000
2 Sn 0.2741 0.2741 0.4966
3 Te 0.6273 0.6273 0.5982
4 O 0.3916 0.3916 0.8366

## Properties
Its space group is No. 8. As for the total energy: -0.3599 Ry/atom.



Record 9
This record from Alexandria describes an optimized crystal structure of BaSnTeO6. The functional is GGA-PBE.

a = 5.4265 Å, b = 5.4265 Å, c = 11.6673 Å
α = 90.00°, β = 90.00°, γ = 120.00°
Atoms (fractional coordinates):
1 Ba 0.0000 0.0000 0.0000
2 Ba 0.0000 0.0000 0.5000
3 Sn 0.3333 0.6667 0.2500
4 Sn 0.6667 0.3333 0.7500
5 Te 0.3333 0.6667 0.7500
6 Te 0.6667 0.3333 0.2500
7 O 0.0186 0.3933 0.6528
8 O 0.0186 0.6253 0.8472
9 O 0.3747 0.3933 0.8472
10 O 0.3747 0.9814 0.6528
11 O 0.3933 0.0186 0.1528
12 O 0.3933 0.3747 0.3472
13 O 0.6067 0.6253 0.6528
14 O 0.6067 0.9814 0.8472
15 O 0.6253 0.0186 0.3472
16 O 0.6253 0.6067 0.1528
17 O 0.9814 0.3747 0.1528
18 O 0.9814 0.6067 0.3472

## Properties
Its space group is No. 163. As for the total energy: -0.4478 Ry/atom. The calculation puts the density of states at the Fermi level at 0.00 states/eV/cell.



Record 10
This record from Alexandria describes an optimized crystal structure of Ba2ThSnO6. The functional is GGA-PBE.

a = 6.1973 Å, b = 6.1973 Å, c = 6.1973 Å
α = 60.00°, β = 60.00°, γ = 60.00°
Atoms (fractional coordinates):
1 Ba 0.2500 0.2500 0.2500
2 Ba 0.7500 0.7500 0.7500
3 Th 0.0000 0.0000 0.0000
4 Sn 0.5000 0.5000 0.5000
5 O 0.2607 0.2607 0.7393
6 O 0.2607 0.7393 0.2607
7 O 0.2607 0.7393 0.7393
8 O 0.7393 0.2607 0.2607
9 O 0.7393 0.2607 0.7393
10 O 0.7393 0.7393 0.2607

## Properties
Its space group is No. 225. As for the total energy: -0.5348 Ry/atom. The calculation puts the density of states at the Fermi level at 0.00 states/eV/cell.



Record 11
This record from Alexandria describes an optimized crystal structure of Ba3TiSn2O9. The functional is GGA-PBE.

a = 5.8488 Å, b = 5.8488 Å, c = 7.1649 Å
α = 90.00°, β = 90.00°, γ = 120.00°
Atoms (fractional coordinates):
1 Ba 0.0000 0.0000 0.0000
2 Ba 0.3333 0.6667 0.6657
3 Ba 0.6667 0.3333 0.3343
4 Ti 0.0000 0.0000 0.5000
5 Sn 0.3333 0.6667 0.1717
6 Sn 0.6667 0.3333 0.8283
7 O 0.0000 0.5000 0.0000
8 O 0.1622 0.3245 0.3392
9 O 0.1622 0.8378 0.3392
10 O 0.3245 0.1622 0.6608
11 O 0.5000 0.0000 0.0000
12 O 0.5000 0.5000 0.0000
13 O 0.6755 0.8378 0.3392
14 O 0.8378 0.1622 0.6608
15 O 0.8378 0.6755 0.6608

## Properties
Its space group is No. 164. As for the total energy: -0.5063 Ry/atom. The calculation puts the density of states at the Fermi level at 0.00 states/eV/cell.



Record 12
This record from Alexandria describes an optimized crystal structure of Ba2TiSnO6. The functional is GGA-PBE.

a = 5.8126 Å, b = 5.8126 Å, c = 5.8126 Å
α = 60.00°, β = 60.00°, γ = 60.00°
Atoms (fractional coordinates):
1 Ba 0.2500 0.2500 0.2500
2 Ba 0.7500 0.7500 0.7500
3 Ti 0.0000 0.0000 0.0000
4 Sn 0.5000 0.5000 0.5000
5 O 0.2436 0.2436 0.7564
6 O 0.2436 0.7564 0.2436
7 O 0.2436 0.7564 0.7564
8 O 0.7564 0.2436 0.2436
9 O 0.7564 0.2436 0.7564
10 O 0.7564 0.7564 0.2436

## Properties
Its space group is No. 225. As for the total energy: -0.5270 Ry/atom. The calculation puts the density of states at the Fermi level at 0.00 states/eV/cell.



Record 13
This record from Alexandria describes an optimized crystal structure of Ba2TlSn2O7. The functional is GGA-PBE.

a = 3.8752 Å, b = 3.8752 Å, c = 14.0403 Å
α = 90.00°, β = 90.00°, γ = 90.00°
Atoms (fractional coordinates):
1 Ba 0.0000 0.0000 0.1980
2 Ba 0.0000 0.0000 0.8020
3 Tl 0.5000 0.5000 0.0000
4 Sn 0.5000 0.5000 0.3979
5 Sn 0.5000 0.5000 0.6021
6 O 0.0000 0.0000 0.0000
7 O 0.0000 0.5000 0.3445
8 O 0.0000 0.5000 0.6555
9 O 0.5000 0.0000 0.3445
10 O 0.5000 0.0000 0.6555
11 O 0.5000 0.5000 0.1459
12 O 0.5000 0.5000 0.8541

## Properties
Its space group is No. 123. As for the total energy: -0.4155 Ry/atom. The calculation puts the density of states at the Fermi level at 8.34 states/eV/cell.



Record 14
This record from Alexandria describes an optimized crystal structure of Ba4TlSn3O12. The functional is GGA-PBE.

a = 7.3715 Å, b = 7.3715 Å, c = 7.3715 Å
α = 109.47°, β = 109.47°, γ = 109.47°
Atoms (fractional coordinates):
1 Ba 0.0000 0.0000 0.5000
2 Ba 0.0000 0.5000 0.0000
3 Ba 0.5000 0.0000 0.0000
4 Ba 0.5000 0.5000 0.5000
5 Tl 0.0000 0.0000 0.0000
6 Sn 0.0000 0.5000 0.5000
7 Sn 0.5000 0.0000 0.5000
8 Sn 0.5000 0.5000 0.0000
9 O 0.0000 0.2619 0.2619
10 O 0.0000 0.7382 0.7382
11 O 0.2500 0.5000 0.7500
12 O 0.2500 0.7500 0.5000
13 O 0.2619 0.0000 0.2619
14 O 0.2619 0.2619 0.0000
15 O 0.5000 0.2500 0.7500
16 O 0.5000 0.7500 0.2500
17 O 0.7382 0.0000 0.7382
18 O 0.7382 0.7382 0.0000
19 O 0.7500 0.2500 0.5000
20 O 0.7500 0.5000 0.2500

## Properties
Its space group is No. 229. As for the total energy: -0.4424 Ry/atom. The calculation puts the density of states at the Fermi level at 15.60 states/eV/cell.



Record 15
This record from Alexandria describes an optimized crystal structure of BaTlSn2O. The functional is GGA-PBE.

a = 6.3049 Å, b = 6.3049 Å, c = 6.7840 Å
α = 90.00°, β = 90.00°, γ = 90.00°
Atoms (fractional coordinates):
1 Ba 0.0000 0.0000 0.0000
2 Tl 0.0000 0.0000 0.5000
3 Sn 0.0000 0.5000 0.0000
4 Sn 0.5000 0.0000 0.0000
5 O 0.5000 0.5000 0.5000

## Properties
Its space group is No. 123. As for the total energy: -0.1594 Ry/atom. The calculation puts the density of states at the Fermi level at 11.97 states/eV/cell.



Record 16
This record from Alexandria describes an optimized crystal structure of Ba3TlSn2O9. The functional is GGA-PBE.

a = 6.0234 Å, b = 6.0234 Å, c = 7.4285 Å
α = 90.00°, β = 90.00°, γ = 120.00°
Atoms (fractional coordinates):
1 Ba 0.0000 0.0000 0.0000
2 Ba 0.3333 0.6667 0.6603
3 Ba 0.6667 0.3333 0.3397
4 Tl 0.0000 0.0000 0.5000
5 Sn 0.3333 0.6667 0.1587
6 Sn 0.6667 0.3333 0.8413
7 O 0.0000 0.5000 0.0000
8 O 0.1734 0.3468 0.3234
9 O 0.1734 0.8266 0.3234
10 O 0.3468 0.1734 0.6766
11 O 0.5000 0.0000 0.0000
12 O 0.5000 0.5000 0.0000
13 O 0.6532 0.8266 0.3234
14 O 0.8266 0.1734 0.6766
15 O 0.8266 0.6532 0.6766

## Properties
Its space group is No. 164. As for the total energy: -0.4347 Ry/atom. The calculation puts the density of states at the Fermi level at 12.83 states/eV/cell.



Record 17
This record from Alexandria describes an optimized crystal structure of Ba2TlSnO6. The functional is GGA-PBE.

a = 6.0871 Å, b = 6.0871 Å, c = 6.0871 Å
α = 60.00°, β = 60.00°, γ = 60.00°
Atoms (fractional coordinates):
1 Ba 0.2500 0.2500 0.2500
2 Ba 0.7500 0.7500 0.7500
3 Tl 0.0000 0.0000 0.0000
4 Sn 0.5000 0.5000 0.5000
5 O 0.2595 0.2595 0.7405
6 O 0.2595 0.7405 0.2595
7 O 0.2595 0.7405 0.7405
8 O 0.7405 0.2595 0.2595
9 O 0.7405 0.2595 0.7405
10 O 0.7405 0.7405 0.2595

## Properties
Its space group is No. 225. As for the total energy: -0.4196 Ry/atom. The calculation puts the density of states at the Fermi level at 8.94 states/eV/cell.



Record 18
This record from Alexandria describes an optimized crystal structure of Ba2TlSnO5. The functional is GGA-PBE.

a = 8.8278 Å, b = 8.8278 Å, c = 10.1205 Å
α = 90.00°, β = 90.00°, γ = 157.14°
Atoms (fractional coordinates):
1 Ba 0.1268 0.8732 0.5000
2 Ba 0.1268 0.8732 0.9175
3 Ba 0.8732 0.1268 0.0000
4 Ba 0.8732 0.1268 0.4175
5 Tl 0.4787 0.5213 0.7085
6 Tl 0.5213 0.4787 0.2085
7 Sn 0.2256 0.7744 0.2088
8 Sn 0.7744 0.2256 0.7088
9 O 0.1044 0.8956 0.2091
10 O 0.2824 0.7176 0.5744
11 O 0.2822 0.7178 0.8431
12 O 0.3439 0.6561 0.2087
13 O 0.5000 0.5000 0.4595
14 O 0.5000 0.5000 0.9595
15 O 0.6561 0.3439 0.7087
16 O 0.7176 0.2824 0.0744
17 O 0.7178 0.2822 0.3431
18 O 0.8956 0.1044 0.7091

## Properties
Its space group is No. 36. As for the total energy: -0.4186 Ry/atom. The calculation puts the density of states at the Fermi level at 2.83 states/eV/cell.



Record 19
This record from Alexandria describes an optimized crystal structure of Ba3Tl2SnO8. The functional is GGA-PBE.

a = 6.0800 Å, b = 6.0800 Å, c = 7.9407 Å
α = 90.00°, β = 90.00°, γ = 120.00°
Atoms (fractional coordinates):
1 Ba 0.0000 0.0000 0.0000
2 Ba 0.3333 0.6667 0.6273
3 Ba 0.6667 0.3333 0.3727
4 Tl 0.3333 0.6667 0.1930
5 Tl 0.6667 0.3333 0.8070
6 Sn 0.0000 0.0000 0.5000
7 O 0.1578 0.3157 0.3408
8 O 0.1578 0.8422 0.3408
9 O 0.3157 0.1578 0.6592
10 O 0.3333 0.6667 0.9369
11 O 0.6667 0.3333 0.0631
12 O 0.6843 0.8422 0.3408
13 O 0.8422 0.1578 0.6592
14 O 0.8422 0.6843 0.6592

## Properties
Its space group is No. 164. As for the total energy: -0.4066 Ry/atom.



| no. | total magnetization (μB per formula unit) |
| --- | --- |
| 1 | 1.088 |
| 2 | 0.401 |
| 3 | 0.963 |
| 4 | 0.000 |
| 5 | 3.000 |
| 6 | 0.000 |
| 7 | 0.000 |
| 8 | 0.000 |
| 9 | 0.000 |
| 10 | 0.000 |
| 11 | 0.000 |
| 12 | 0.000 |
| 13 | 0.686 |
| 14 | 0.004 |
| 15 | 0.176 |
| 16 | 0.706 |
| 17 | 0.850 |
| 18 | 0.000 |
| 19 | 0.000 |